Material: Fe2PClO4
Method: DFT, PBE with a Hubbard U
State: optimized geometry

final energy	-6.609	eV per atom
M_tot	64.1	Bohr magnetons per cell

Unit cell a=13.839 b=9.365 c=9.445 alpha=90.00 beta=132.26 gamma=90.00
Space group C2/c (No. 15)
Unique sites:
Fe (0.000, 0.000, 0.000) (multiplicity 4)
Fe (0.000, 0.281, 0.250) (multiplicity 4)
Fe (0.189, 0.257, 0.178) (multiplicity 8)
P (0.231, 0.011, 0.481) (multiplicity 8)
Cl (0.068, 0.269, 0.572) (multiplicity 8)
O (0.129, 0.101, 0.290) (multiplicity 8)
O (0.150, 0.064, 0.020) (multiplicity 8)
O (0.170, 0.385, 0.350) (multiplicity 8)
O (0.197, 0.405, 0.040) (multiplicity 8)